Density functional theory data (PBE) for an optimized crystal structure of Pm6As5I.

Results
VASP energy = -71.0 eV for the cell shown
Formation energy from raw total energies = -1.471 eV per atom
Calculated density = 6.832 g/cm3

Lattice parameters (Å, degrees): 7.403 7.439 7.423 59.93 80.34 70.44
Sites, in units of the cell vectors:
I (0.000, 0.000, 0.000)
As (0.500, 0.500, 0.000)
As (0.000, 0.668, 0.665)
As (0.500, 0.840, 0.319)
As (0.000, 0.332, 0.335)
As (0.500, 0.160, 0.681)
Pm (0.262, 0.555, 0.357)
Pm (0.261, 0.269, 0.000)
Pm (0.738, 0.088, 0.357)
Pm (0.739, 0.731, 0.000)
Pm (0.738, 0.445, 0.643)
Pm (0.262, 0.912, 0.643)

Density functional theory data (PBE) for an optimized crystal structure of Li6AlHg2.

Results
VASP energy = -17.7 eV for the cell shown
Energy above the most stable polymorph in this dataset = 19 kJ/mol of formula units
Calculated density = 4.717 g/cm3

Lattice parameters (Å, degrees): 3.026 7.941 7.945 119.98 90.00 90.00
Sites, in units of the cell vectors:
Hg (0.000, 0.667, 0.333)
Hg (0.000, 0.333, 0.667)
Li (0.000, 0.000, 0.294)
Li (0.500, 0.000, 0.640)
Li (0.500, 0.640, 0.000)
Li (0.000, 0.706, 0.706)
Li (0.000, 0.294, 0.000)
Li (0.500, 0.360, 0.360)
Al (0.500, 0.000, 0.000)

- Which value of calculated density does entry 1 give?
  6.832 g/cm3